Computed, not measured: a geometry-optimized PrSm4In3 structure at the PBE level of DFT.

Size of the total moment in μB/cell: 1.8
Electronic total energy in eV/cell: -69.5
Crystal system: tetragonal
E above lowest polymorph in kcal/mol of atoms: 0.000
Space group: P4/mmm, No. 123

Lattice parameters (Å, degrees): 5.018 9.370 10.036 90.00 90.00 90.00
Site moments in Bohr magnetons follow the coordinates.
Element x y z (fractional)
1 Pr 0.000 0.500 0.000  0.17
2 Pr 0.000 0.500 0.500  0.17
3 Sm 0.500 0.767 0.000  0.08
4 Sm 0.500 0.767 0.500  0.08
5 Sm 0.500 0.233 0.000  0.08
6 Sm 0.500 0.233 0.500  0.08
7 Sm 0.000 0.767 0.750  0.08
8 Sm 0.000 0.767 0.250  0.08
9 Sm 0.000 0.233 0.250  0.08
10 Sm 0.000 0.233 0.750  0.08
11 In 0.000 0.000 0.000  0.00
12 In 0.000 0.000 0.500  0.00
13 In 0.500 0.000 0.750  -0.01
14 In 0.500 0.000 0.250  -0.01
15 In 0.500 0.500 0.750  -0.01
16 In 0.500 0.500 0.250  -0.01



Computed, not measured: a geometry-optimized Pr15SmIn4 structure at the PBE level of DFT.

Size of the total moment in μB/cell: 0.0
Electronic total energy in eV/cell: -91.6
Crystal system: tetragonal
Space group: P4/mmm, No. 123

Lattice parameters (Å, degrees): 5.029 5.029 25.722 90.00 90.00 90.00
Element x y z (fractional)
1 Pr 0.500 0.500 0.000
2 Pr 0.500 0.500 0.205
3 Pr 0.500 0.500 0.402
4 Pr 0.500 0.500 0.598
5 Pr 0.500 0.500 0.795
6 Pr 0.500 0.000 0.106
7 Pr 0.500 0.000 0.304
8 Pr 0.500 0.000 0.500
9 Pr 0.500 0.000 0.696
10 Pr 0.500 0.000 0.894
11 Pr 0.000 0.500 0.106
12 Pr 0.000 0.500 0.304
13 Pr 0.000 0.500 0.500
14 Pr 0.000 0.500 0.696
15 Pr 0.000 0.500 0.894
16 Sm 0.000 0.000 0.000
17 In 0.000 0.000 0.206
18 In 0.000 0.000 0.402
19 In 0.000 0.000 0.598
20 In 0.000 0.000 0.794



Computed, not measured: a geometry-optimized Pr3Sm3In structure at the PBE level of DFT.

Size of the total moment in μB/cell: 0.0
Electronic total energy in eV/cell: -63.7
Crystal system: monoclinic
E above lowest polymorph in kcal/mol of atoms: 0.000
Space group: P2_1/m, No. 11

Lattice parameters (Å, degrees): 5.716 9.890 9.961 124.76 90.00 90.00
Element x y z (fractional)
1 Pr 0.750 0.741 0.817
2 Pr 0.750 0.113 0.285
3 Pr 0.750 0.176 0.943
4 Pr 0.250 0.259 0.183
5 Pr 0.250 0.887 0.715
6 Pr 0.250 0.824 0.057
7 Sm 0.250 0.474 0.613
8 Sm 0.250 0.064 0.484
9 Sm 0.250 0.364 0.895
10 Sm 0.750 0.526 0.387
11 Sm 0.750 0.936 0.516
12 Sm 0.750 0.636 0.105
13 In 0.750 0.335 0.695
14 In 0.250 0.665 0.305



Computed, not measured: a geometry-optimized Pr5Sm6In structure at the PBE level of DFT.

Size of the total moment in μB/cell: 0.0
Electronic total energy in eV/cell: -55.6
Crystal system: orthorhombic
Space group: Immm, No. 71

Lattice parameters (Å, degrees): 5.090 9.604 9.604 106.70 105.35 105.35
Element x y z (fractional)
1 Pr 0.500 0.167 0.833
2 Pr 0.000 0.336 0.664
3 Pr 0.500 0.500 0.500
4 Pr 0.000 0.664 0.336
5 Pr 0.500 0.833 0.167
6 Sm 0.244 0.080 0.407
7 Sm 0.756 0.593 0.920
8 Sm 0.743 0.243 0.243
9 Sm 0.257 0.757 0.757
10 Sm 0.244 0.407 0.080
11 Sm 0.756 0.920 0.593
12 In 0.000 0.000 0.000



Number 1: formation enthalpy at 0 K -0.36 eV per atom. Number 2: formation enthalpy at 0 K -0.21 eV per atom. Number 3: formation enthalpy at 0 K -0.09 eV per atom. Number 4: formation enthalpy at 0 K -0.06 eV per atom.